1.
Here is crystalline La2Be4CuPt3 at its relaxed geometry from the Alexandria database. Energies are from PBE.

Computed properties:
* VASP energy: -5.359 eV per atom
* crystal system: tetragonal
* calculated volume: 163.83 Å³ per cell

```
10
Lattice="4.087 0.000 0.000 0.000 4.087 0.000 0.000 0.000 9.806" Properties=species:S:1:pos:R:3 pbc="T T T"
La 0.000 2.044 2.454
La 2.044 0.000 7.352
Be 0.000 0.000 0.000
Be 0.000 2.044 6.045
Be 2.044 0.000 3.762
Be 2.044 2.044 0.000
Cu 0.000 0.000 4.903
Pt 0.000 2.044 8.597
Pt 2.044 0.000 1.209
Pt 2.044 2.044 4.903
```



2.
Here is crystalline Cs3HfPa3Se8 at its relaxed geometry from the Alexandria database. Energies are from PBE.

Computed properties:
* crystal system: trigonal
* raw formation energy: -1.32 eV/atom
* calculated volume: 504.86 Å³ per cell

```
15
Lattice="4.082 2.357 8.747 -4.082 2.357 8.747 0.000 -4.713 8.747" Properties=species:S:1:pos:R:3 pbc="T T T"
Cs -2.041 -1.178 8.747
Cs -2.041 1.178 17.494
Cs 0.000 2.357 8.747
Hf 0.000 0.000 13.120
Pa -4.082 0.000 13.120
Pa -2.041 1.178 4.373
Pa 2.041 1.178 4.373
Se 0.000 0.000 6.088
Se -1.942 -1.121 14.725
Se 0.000 -2.243 11.516
Se -1.942 1.121 11.516
Se 1.942 -1.121 14.725
Se 0.000 2.243 14.725
Se 1.942 1.121 11.516
Se 0.000 0.000 20.153
```



3.
Here is crystalline Cd4GeO6 at its relaxed geometry from the Alexandria database. Energies are from PBE.

Computed properties:
* crystal system: monoclinic
* raw formation energy: -1.20 eV/atom
* calculated volume: 350.34 Å³ per cell

```
22
Lattice="5.499 -3.069 0.000 5.499 3.069 0.000 -4.134 0.000 10.381" Properties=species:S:1:pos:R:3 pbc="T T T"
Cd 3.432 2.361 5.190
Cd -0.338 0.717 10.156
Cd 3.376 1.195 8.743
Cd 1.729 -0.717 4.965
Cd 8.117 0.729 1.837
Cd 5.443 -1.195 3.552
Cd 5.499 -2.361 0.000
Cd 6.050 -0.729 7.028
Ge 5.131 1.683 2.476
Ge 3.064 -1.683 7.667
O 1.397 1.449 5.178
O 3.516 1.733 1.771
O 0.525 0.107 2.110
O 1.252 1.860 9.105
O -1.542 -0.107 7.300
O 5.193 1.400 4.247
O -0.670 -1.449 10.368
O 5.939 0.223 1.821
O 3.872 -0.223 7.012
O 1.449 -1.733 6.962
O 3.319 -1.860 3.914
O 3.126 -1.400 9.437
```



4.
Here is crystalline La4TbMg at its relaxed geometry from the Alexandria database. Energies are from PBE.

Computed properties:
* VASP energy: -4.346 eV per atom
* crystal system: tetragonal
* calculated volume: 204.81 Å³ per cell

```
6
Lattice="3.753 0.000 0.000 0.000 3.753 0.000 0.000 0.000 14.538" Properties=species:S:1:pos:R:3 pbc="T T T"
La 0.000 0.000 2.222
La 0.000 0.000 12.316
La 1.877 1.877 4.765
La 1.877 1.877 9.773
Tb 0.000 0.000 7.269
Mg 1.877 1.877 0.000
```



5.
Here is crystalline Pm3Pr6Dy2 at its relaxed geometry from the Alexandria database. Energies are from PBE.

Computed properties:
* VASP energy: -4.465 eV per atom
* crystal system: tetragonal
* calculated volume: 399.63 Å³ per cell

```
11
Lattice="-2.411 2.411 17.191 2.411 -2.411 17.191 2.411 2.411 -17.191" Properties=species:S:1:pos:R:3 pbc="T T T"
Pm 0.000 0.000 0.000
Pm 0.000 0.000 6.698
Pm 0.000 0.000 27.684
Pr 2.411 0.000 4.090
Pr 0.000 0.000 10.133
Pr 2.411 0.000 13.101
Pr 0.000 2.411 4.090
Pr 0.000 0.000 24.249
Pr 0.000 2.411 13.101
Dy 0.000 0.000 15.656
Dy 0.000 0.000 18.726
```



6.
Here is crystalline Pm2DyZn at its relaxed geometry from the Alexandria database. Energies are from PBE.

Computed properties:
* VASP energy: -3.599 eV per atom
* crystal system: trigonal
* calculated volume: 127.42 Å³ per cell

```
4
Lattice="1.750 1.010 12.010 -1.750 1.010 12.010 0.000 -2.021 12.010" Properties=species:S:1:pos:R:3 pbc="T T T"
Pm 0.000 0.000 3.132
Pm 0.000 0.000 32.897
Dy 0.000 0.000 18.014
Zn 0.000 0.000 0.000
```



7.
Here is crystalline HgP2AuS at its relaxed geometry from the Alexandria database. Energies are from PBE.

Computed properties:
* crystal system: tetragonal
* raw formation energy: 0.99 eV/atom
* calculated volume: 118.35 Å³ per cell

```
5
Lattice="4.862 0.000 0.000 0.000 4.862 0.000 0.000 0.000 5.006" Properties=species:S:1:pos:R:3 pbc="T T T"
Hg 0.000 0.000 0.000
P 0.000 2.431 2.503
P 2.431 0.000 2.503
Au 2.431 2.431 2.503
S 2.431 2.431 0.000
```



8.
Here is crystalline BaMgCd2 at its relaxed geometry from the Alexandria database. Energies are from PBE.

Computed properties:
* VASP energy: -1.551 eV per atom
* crystal system: monoclinic
* calculated volume: 130.34 Å³ per cell

```
4
Lattice="4.349 -2.510 0.000 4.349 2.510 0.000 -2.851 0.000 5.971" Properties=species:S:1:pos:R:3 pbc="T T T"
Ba 0.000 0.000 0.000
Mg 2.923 0.000 2.985
Cd 0.032 0.000 3.632
Cd 5.814 0.000 2.339
```



9.
Here is crystalline YTmSbSe at its relaxed geometry from the Alexandria database. Energies are from PBE.

Computed properties:
* crystal system: tetragonal
* raw formation energy: -1.40 eV/atom
* calculated volume: 106.52 Å³ per cell

```
4
Lattice="4.228 0.000 0.000 0.000 4.228 0.000 0.000 0.000 5.960" Properties=species:S:1:pos:R:3 pbc="T T T"
Y 0.000 0.000 0.000
Tm 2.114 2.114 2.974
Sb 2.114 2.114 5.954
Se 0.000 0.000 2.978
```



10.
Here is crystalline Pm3RuAu at its relaxed geometry from the Alexandria database. Energies are from PBE.

Computed properties:
* VASP energy: -5.786 eV per atom
* crystal system: monoclinic
* calculated volume: 272.74 Å³ per cell

```
10
Lattice="8.286 0.000 0.000 0.000 4.087 0.000 -2.335 0.000 8.054" Properties=species:S:1:pos:R:3 pbc="T T T"
Pm -0.078 1.022 2.111
Pm 0.378 1.022 7.616
Pm 1.471 3.065 4.833
Pm 4.479 1.022 3.221
Pm 5.572 3.065 0.437
Pm 6.029 3.065 5.943
Ru -0.567 1.022 4.935
Ru 6.517 3.065 3.119
Au 2.357 3.065 1.806
Au 3.594 1.022 6.248
```



11.
Here is crystalline CeMg6W at its relaxed geometry from the Alexandria database. Energies are from PBE.

Computed properties:
* VASP energy: -3.271 eV per atom
* crystal system: orthorhombic
* calculated volume: 175.05 Å³ per cell

```
8
Lattice="5.149 0.000 0.000 0.000 2.893 5.875 0.000 -2.893 5.875" Properties=species:S:1:pos:R:3 pbc="T T T"
Ce 0.000 0.000 0.000
Mg 0.000 -1.443 8.789
Mg 0.000 1.443 8.789
Mg 2.574 0.000 1.885
Mg 2.574 -1.388 4.729
Mg 2.574 0.000 7.348
Mg 2.574 1.388 4.729
W 0.000 0.000 5.734
```



12.
Here is crystalline TePb3S6 at its relaxed geometry from the Alexandria database. Energies are from PBE.

Computed properties:
* crystal system: orthorhombic
* raw formation energy: -0.15 eV/atom
* calculated volume: 605.87 Å³ per cell

```
20
Lattice="5.656 -7.426 0.000 5.656 7.426 0.000 0.000 0.000 7.213" Properties=species:S:1:pos:R:3 pbc="T T T"
Te 5.656 4.600 3.607
Te 5.656 -4.600 0.000
Pb 2.329 1.290 3.166
Pb 2.329 -1.290 6.772
Pb 5.656 1.437 6.553
Pb 5.656 -1.437 2.947
Pb 8.982 1.290 3.166
Pb 8.982 -1.290 6.772
S 5.656 6.850 4.329
S 3.732 3.668 4.542
S 5.656 4.437 1.301
S 3.922 0.130 1.302
S 3.922 -0.130 4.909
S 7.579 3.668 4.542
S 3.732 -3.668 0.935
S 7.389 0.130 1.302
S 7.389 -0.130 4.909
S 5.656 -4.437 4.908
S 7.579 -3.668 0.935
S 5.656 -6.850 0.722
```